one | An optimized crystal structure of MgHgRu2. Source: Alexandria via LeMat-Bulk, functional GGA-PBE.

Results
* calculated density: 10.90 g/cm3
* M_tot: 0.00 μB per formula unit
* density of states at the Fermi level: 17.6 states/eV per cell

Lattice parameters (Å, degrees): 6.3840 6.3840 6.3840 90.00 90.00 90.00
Space group F-43m (No. 216)
Symmetry-distinct sites (fractional):
Mg  0.0000  0.0000  0.0000
Hg  0.2500  0.2500  0.7500
Ru  0.0000  0.0000  0.5000
Ru  0.2500  0.2500  0.2500


two | An optimized crystal structure of MgHgRu2. Source: Alexandria via LeMat-Bulk, functional GGA-PBE.

Results
* calculated density: 10.80 g/cm3
* M_tot: 0.00 μB per formula unit
* density of states at the Fermi level: 8.8 states/eV per cell

Lattice parameters (Å, degrees): 9.1169 2.9313 4.9786 90.00 99.25 90.00
Space group Cm (No. 8)
Symmetry-distinct sites (fractional):
Mg  0.0000  0.0000  0.0000
Hg  0.2566  0.5000  0.2330
Ru  0.0095  0.5000  0.5383
Ru  0.2466  0.0000  0.7160


The calculated energies rank the structures as follows, beginning with the most stable: two, one.